ErCd3Ag | PBE | optimized geometry

Values from the calculation:
space group	Pnma (62)
theoretical density	8.787	Mg/m³
size of the total moment	0.00	μB per formula unit
E above lowest polymorph	0	meV per atom
energy relative to the elements	-0.158	eV/atom

extended XYZ file:
```
20
Lattice="9.4849 0.0000 0.0000 0.0000 3.8721 0.0000 0.0000 0.0000 12.6042" Properties=species:S:1:pos:R:3 pbc="T T T"
Er 1.5946 0.9680 0.0690
Er 3.1478 2.9040 6.3711
Er 6.3371 0.9680 6.2331
Er 7.8903 2.9040 12.5352
Cd 0.6718 0.9680 5.2080
Cd 0.7546 2.9040 2.5858
Cd 1.5153 2.9040 10.1192
Cd 3.2271 0.9680 3.8171
Cd 3.9879 0.9680 8.8879
Cd 4.0706 2.9040 11.5101
Cd 5.4143 0.9680 1.0942
Cd 5.4970 2.9040 3.7163
Cd 6.2578 2.9040 8.7871
Cd 7.9696 0.9680 2.4850
Cd 8.7303 0.9680 10.0184
Cd 8.8131 2.9040 7.3963
Ag 1.3651 0.9680 7.9726
Ag 3.3774 2.9040 1.6705
Ag 6.1075 0.9680 10.9338
Ag 8.1198 2.9040 4.6316
```